DFT (GGA-PBE) results for a geometry-optimized Al2CuHg2 structure.

a = 7.536 Å, b = 7.536 Å, c = 3.540 Å
α = 90.00°, β = 90.00°, γ = 90.00°
Sites, in units of the cell vectors:
1 Al 0.627 0.873 0.500
2 Hg 0.179 0.321 0.000
3 Al 0.373 0.127 0.500
4 Al 0.873 0.373 0.500
5 Hg 0.821 0.679 0.000
6 Hg 0.321 0.821 0.000
7 Cu 0.500 0.500 0.000
8 Cu 0.000 0.000 0.000
9 Hg 0.679 0.179 0.000
10 Al 0.127 0.627 0.500

formation energy: 1.58 eV per formula unit
energy above the most stable polymorph in this dataset: 149 meV per atom
theoretical density: 8.6 g cm⁻³


DFT (GGA-PBE) results for a geometry-optimized Al2CuHg structure.

a = 6.648 Å, b = 6.648 Å, c = 6.648 Å
α = 155.41°, β = 143.86°, γ = 44.20°
Sites, in units of the cell vectors:
1 Hg 0.694 0.194 0.500
2 Cu 0.484 0.484 0.000
3 Al 0.313 0.813 0.500
4 Al 0.009 0.009 0.000

formation energy: 0.25 eV per formula unit
theoretical density: 7.3 g cm⁻³


DFT (GGA-PBE) results for a geometry-optimized AlCuHg3 structure.

a = 5.076 Å, b = 5.076 Å, c = 5.076 Å
α = 90.00°, β = 90.00°, γ = 90.00°
Sites, in units of the cell vectors:
1 Cu 0.000 0.000 0.000
2 Hg 0.500 0.000 0.000
3 Al 0.500 0.500 0.500
4 Hg 0.000 0.000 0.500
5 Hg 0.000 0.500 0.000

formation energy: 1.85 eV per formula unit
energy above the most stable polymorph in this dataset: 0 meV per atom
theoretical density: 8.8 g cm⁻³


DFT (GGA-PBE) results for a geometry-optimized Al2CuHg structure.

a = 2.943 Å, b = 2.944 Å, c = 7.914 Å
α = 90.00°, β = 90.00°, γ = 90.00°
Sites, in units of the cell vectors:
1 Al 0.000 0.000 0.453
2 Hg 0.500 0.500 0.750
3 Al 0.000 0.000 0.047
4 Cu 0.500 0.500 0.250

formation energy: 0.18 eV per formula unit
theoretical density: 7.7 g cm⁻³


DFT (GGA-PBE) results for a geometry-optimized Al2CuHg structure.

a = 8.637 Å, b = 8.637 Å, c = 8.637 Å
α = 20.42°, β = 20.42°, γ = 20.42°
Sites, in units of the cell vectors:
1 Hg 0.750 0.750 0.750
2 Al 0.510 0.510 0.510
3 Al 0.990 0.990 0.990
4 Cu 0.250 0.250 0.250

formation energy: 0.14 eV per formula unit
theoretical density: 7.7 g cm⁻³


DFT (GGA-PBE) results for a geometry-optimized Al3CuHg structure.

a = 4.664 Å, b = 4.664 Å, c = 4.664 Å
α = 90.00°, β = 90.00°, γ = 90.00°
Sites, in units of the cell vectors:
1 Hg 0.500 0.500 0.500
2 Al 0.000 0.500 0.000
3 Al 0.500 0.000 0.000
4 Al 0.000 0.000 0.500
5 Cu 0.000 0.000 0.000

formation energy: 1.09 eV per formula unit
energy above the most stable polymorph in this dataset: 0 meV per atom
theoretical density: 5.6 g cm⁻³


DFT (GGA-PBE) results for a geometry-optimized AlCu2Hg structure.

a = 4.058 Å, b = 4.054 Å, c = 3.698 Å
α = 90.00°, β = 90.00°, γ = 90.00°
Sites, in units of the cell vectors:
1 Cu 0.500 0.500 0.000
2 Hg 0.500 0.000 0.500
3 Cu 0.000 0.000 0.000
4 Al 0.000 0.500 0.500

formation energy: 0.30 eV per formula unit
energy above the most stable polymorph in this dataset: 70 meV per atom
theoretical density: 9.7 g cm⁻³


DFT (GGA-PBE) results for a geometry-optimized Al2CuHg structure.

a = 2.906 Å, b = 2.906 Å, c = 8.099 Å
α = 90.00°, β = 90.00°, γ = 89.95°
Sites, in units of the cell vectors:
1 Hg 0.500 0.500 0.728
2 Al 0.500 0.500 0.278
3 Al 0.000 0.000 0.023
4 Cu 0.000 0.000 0.471

formation energy: 0.30 eV per formula unit
theoretical density: 7.7 g cm⁻³


DFT (GGA-PBE) results for a geometry-optimized Al2CuHg structure.

a = 4.712 Å, b = 4.712 Å, c = 4.797 Å
α = 83.09°, β = 83.09°, γ = 40.85°
Sites, in units of the cell vectors:
1 Al 0.994 0.994 0.023
2 Hg 0.748 0.748 0.757
3 Cu 0.512 0.512 0.438
4 Al 0.246 0.246 0.281

formation energy: 0.34 eV per formula unit
theoretical density: 7.6 g cm⁻³


DFT (GGA-PBE) results for a geometry-optimized Al2CuHg structure.

a = 4.167 Å, b = 4.167 Å, c = 5.482 Å
α = 67.66°, β = 67.66°, γ = 60.00°
Sites, in units of the cell vectors:
1 Al 0.054 0.054 0.839
2 Hg 0.492 0.492 0.523
3 Cu 0.674 0.674 0.978
4 Al 0.280 0.280 0.160

formation energy: 0.17 eV per formula unit
theoretical density: 7.1 g cm⁻³


DFT (GGA-PBE) results for a geometry-optimized Al2Cu2Hg structure.

a = 3.851 Å, b = 3.851 Å, c = 6.323 Å
α = 72.27°, β = 72.27°, γ = 90.00°
Sites, in units of the cell vectors:
1 Al 0.250 0.750 0.500
2 Al 0.750 0.250 0.500
3 Cu 0.391 0.391 0.217
4 Hg 0.000 0.000 0.000
5 Cu 0.609 0.609 0.783

formation energy: 0.46 eV per formula unit
energy above the most stable polymorph in this dataset: 70 meV per atom
theoretical density: 7.5 g cm⁻³


DFT (GGA-PBE) results for a geometry-optimized AlCu2Hg structure.

a = 4.601 Å, b = 4.601 Å, c = 4.935 Å
α = 78.40°, β = 78.40°, γ = 37.92°
Sites, in units of the cell vectors:
1 Al 0.750 0.750 0.750
2 Cu 0.012 0.012 0.960
3 Hg 0.250 0.250 0.250
4 Cu 0.488 0.488 0.540

formation energy: 0.34 eV per formula unit
energy above the most stable polymorph in this dataset: 78 meV per atom
theoretical density: 9.4 g cm⁻³